## P
Here is a relaxed HfZr2Ni2As4Pd2 crystal from the Open Quantum Materials Database. Energies are from PBE.

Total magnetization (Bohr magnetons per cell): 0.00

Unit cell a=6.564 b=3.882 c=7.460 alpha=90.00 beta=90.35 gamma=90.00
Sites, in units of the cell vectors:
Ni1 0.622 0.500 0.944
Ni2 0.147 0.500 0.555
Zr1 0.537 0.500 0.321
Zr2 0.029 0.500 0.177
Hf1 0.472 0.000 0.696
As1 0.242 0.000 0.389
As2 0.763 0.500 0.649
As3 0.223 0.500 0.862
As4 0.754 0.000 0.097
Pd1 0.361 0.000 0.062
Pd2 0.853 0.000 0.447

***

## Q
Here is a relaxed HfZr2Ni2As4Pd2 crystal from the Open Quantum Materials Database. Energies are from PBE.

Total magnetization (Bohr magnetons per cell): 0.01

Unit cell a=6.514 b=3.888 c=7.554 alpha=90.00 beta=90.04 gamma=90.00
Sites, in units of the cell vectors:
Pd1 0.861 0.000 0.448
Pd2 0.618 0.500 0.942
Zr1 0.464 0.000 0.689
Zr2 0.536 0.500 0.319
Ni1 0.148 0.500 0.557
Ni2 0.354 0.000 0.064
As1 0.769 0.500 0.636
As2 0.753 0.000 0.118
As3 0.221 0.500 0.872
As4 0.246 0.000 0.374
Hf1 0.032 0.500 0.179

***

Ordering by calculated energy gives the sequence P, Q, with the first entry being the most stable.

***

## P
Here is a relaxed HfZr2Ni2As4Pd2 crystal from the Open Quantum Materials Database. Energies are from PBE.

Total magnetization (Bohr magnetons per cell): 0.00

Unit cell a=6.508 b=3.867 c=7.585 alpha=90.00 beta=91.44 gamma=90.00
Sites, in units of the cell vectors:
Ni1 0.858 0.000 0.557
Ni2 0.144 0.500 0.444
Zr1 0.531 0.500 0.688
Zr2 0.465 0.000 0.319
As1 0.789 0.000 0.864
As2 0.228 0.000 0.618
As3 0.769 0.500 0.391
As4 0.237 0.500 0.130
Pd1 0.649 0.500 0.063
Pd2 0.363 0.000 0.935
Hf1 0.966 0.000 0.186

***

## Q
Here is a relaxed HfZr2Ni2As4Pd2 crystal from the Open Quantum Materials Database. Energies are from PBE.

Total magnetization (Bohr magnetons per cell): 0.00

Unit cell a=6.549 b=3.883 c=7.477 alpha=90.00 beta=90.22 gamma=90.00
Sites, in units of the cell vectors:
As1 0.219 0.000 0.864
As2 0.766 0.000 0.648
As3 0.242 0.500 0.388
As4 0.758 0.500 0.096
Zr1 0.537 0.000 0.320
Zr2 0.471 0.500 0.696
Ni1 0.625 0.000 0.947
Ni2 0.142 0.000 0.554
Pd1 0.853 0.500 0.443
Pd2 0.358 0.500 0.064
Hf1 0.029 0.000 0.177

***

Ordering by calculated energy gives the sequence P, Q, with the first entry being the most stable.

***

## P
Here is a relaxed HfZr2Ni2As4Pd2 crystal from the Open Quantum Materials Database. Energies are from PBE.

Total magnetization (Bohr magnetons per cell): 0.00

Unit cell a=6.566 b=3.871 c=7.541 alpha=90.00 beta=90.47 gamma=90.00
Sites, in units of the cell vectors:
As1 0.761 0.000 0.376
As2 0.243 0.500 0.632
As3 0.241 0.000 0.108
As4 0.772 0.500 0.881
Zr1 0.459 0.500 0.317
Zr2 0.528 0.000 0.691
Hf1 0.973 0.500 0.184
Pd1 0.632 0.000 0.060
Pd2 0.865 0.500 0.565
Ni1 0.154 0.000 0.440
Ni2 0.370 0.500 0.941

***

## Q
Here is a relaxed HfZr2Ni2As4Pd2 crystal from the Open Quantum Materials Database. Energies are from PBE.

Total magnetization (Bohr magnetons per cell): 0.01

Unit cell a=6.564 b=3.870 c=7.583 alpha=90.00 beta=90.73 gamma=90.00
Sites, in units of the cell vectors:
Pd1 0.368 0.500 0.937
Pd2 0.855 0.500 0.570
Ni1 0.634 0.000 0.061
Ni2 0.158 0.000 0.443
As1 0.251 0.000 0.129
As2 0.241 0.500 0.616
As3 0.757 0.000 0.366
As4 0.763 0.500 0.890
Zr1 0.971 0.500 0.187
Zr2 0.533 0.000 0.687
Hf1 0.467 0.500 0.313

***

## R
Here is a relaxed HfZr2Ni2As4Pd2 crystal from the Open Quantum Materials Database. Energies are from PBE.

Total magnetization (Bohr magnetons per cell): 0.00

Unit cell a=6.603 b=3.888 c=7.466 alpha=90.00 beta=91.05 gamma=90.00
Sites, in units of the cell vectors:
Zr1 0.024 0.000 0.178
Zr2 0.468 0.500 0.695
Pd1 0.842 0.500 0.441
Pd2 0.143 0.000 0.568
As1 0.752 0.000 0.646
As2 0.744 0.500 0.096
As3 0.246 0.000 0.891
As4 0.253 0.500 0.363
Ni1 0.618 0.000 0.948
Ni2 0.374 0.500 0.060
Hf1 0.537 0.000 0.311

***

Ordering by calculated energy gives the sequence R, Q, P, with the first entry being the most stable.

***

## P
Here is a relaxed HfZr2Ni2As4Pd2 crystal from the Open Quantum Materials Database. Energies are from PBE.

Total magnetization (Bohr magnetons per cell): 0.01

Unit cell a=6.518 b=3.898 c=7.549 alpha=90.00 beta=90.17 gamma=90.00
Sites, in units of the cell vectors:
As1 0.247 0.500 0.375
As2 0.767 0.000 0.637
As3 0.224 0.000 0.869
As4 0.747 0.500 0.120
Hf1 0.535 0.000 0.319
Pd1 0.618 0.000 0.944
Pd2 0.857 0.500 0.448
Zr1 0.033 0.000 0.177
Zr2 0.464 0.500 0.689
Ni1 0.152 0.000 0.556
Ni2 0.358 0.500 0.064

***

## Q
Here is a relaxed HfZr2Ni2As4Pd2 crystal from the Open Quantum Materials Database. Energies are from PBE.

Total magnetization (Bohr magnetons per cell): 0.00

Unit cell a=6.513 b=3.877 c=7.580 alpha=90.00 beta=91.32 gamma=90.00
Sites, in units of the cell vectors:
Ni1 0.148 0.000 0.445
Ni2 0.855 0.500 0.557
Pd1 0.646 0.000 0.064
Pd2 0.364 0.500 0.936
Zr1 0.529 0.000 0.687
Zr2 0.968 0.500 0.186
As1 0.244 0.000 0.132
As2 0.767 0.000 0.391
As3 0.786 0.500 0.863
As4 0.227 0.500 0.617
Hf1 0.466 0.500 0.320

***

## R
Here is a relaxed HfZr2Ni2As4Pd2 crystal from the Open Quantum Materials Database. Energies are from PBE.

Total magnetization (Bohr magnetons per cell): 0.00

Unit cell a=6.554 b=3.869 c=7.586 alpha=90.00 beta=90.98 gamma=90.00
Sites, in units of the cell vectors:
Pd1 0.856 0.500 0.571
Pd2 0.367 0.500 0.936
As1 0.240 0.500 0.616
As2 0.766 0.500 0.892
As3 0.247 0.000 0.128
As4 0.761 0.000 0.365
Hf1 0.972 0.500 0.188
Ni1 0.638 0.000 0.059
Ni2 0.150 0.000 0.442
Zr1 0.467 0.500 0.313
Zr2 0.533 0.000 0.687

***

Ordering by calculated energy gives the sequence Q, R, P, with the first entry being the most stable.

***

## P
Here is a relaxed HfZr2Ni2As4Pd2 crystal from the Open Quantum Materials Database. Energies are from PBE.

Total magnetization (Bohr magnetons per cell): 0.00

Unit cell a=6.580 b=3.871 c=7.540 alpha=90.00 beta=90.63 gamma=90.00
Sites, in units of the cell vectors:
Ni1 0.158 0.000 0.443
Ni2 0.373 0.500 0.937
Hf1 0.527 0.000 0.691
Pd1 0.862 0.500 0.567
Pd2 0.630 0.000 0.059
Zr1 0.461 0.500 0.318
Zr2 0.973 0.500 0.184
As1 0.244 0.500 0.632
As2 0.761 0.000 0.377
As3 0.244 0.000 0.109
As4 0.767 0.500 0.879

***

## Q
Here is a relaxed HfZr2Ni2As4Pd2 crystal from the Open Quantum Materials Database. Energies are from PBE.

Total magnetization (Bohr magnetons per cell): 0.01

Unit cell a=6.589 b=3.863 c=7.597 alpha=90.00 beta=90.81 gamma=90.00
Sites, in units of the cell vectors:
Zr1 0.971 0.500 0.187
Zr2 0.466 0.500 0.315
As1 0.250 0.000 0.129
As2 0.758 0.000 0.366
As3 0.241 0.500 0.618
As4 0.765 0.500 0.889
Ni1 0.636 0.000 0.057
Ni2 0.154 0.000 0.444
Pd1 0.853 0.500 0.571
Pd2 0.371 0.500 0.934
Hf1 0.533 0.000 0.688

***

Ordering by calculated energy gives the sequence Q, P, with the first entry being the most stable.